A plane-wave DFT calculation with PBE was carried out for a geometry-optimized ScPCl2 structure.

Summary:
As for the density of states at the Fermi level: 0.16 states/eV/f.u. For the energy relative to the elements, uncorrected, the calculation gives -0.878 eV per atom. The calculation puts the energy above the most stable polymorph in this dataset at 277 meV/atom. As for the total energy: -0.3481 Ry per atom. As for the total magnetization: 8.00 μB per cell.

Structure (CIF):
```
data_ScPCl2
_chemical_formula_sum 'Sc4 P4 Cl8'
_symmetry_space_group_name_H-M 'I -4 2 d'
_symmetry_Int_Tables_number 122
_symmetry_space_group_name_Hall 'I -4 2bw'
_cell_length_a 9.1489
_cell_length_b 9.1489
_cell_length_c 5.3062
_cell_angle_alpha 90.00
_cell_angle_beta 90.00
_cell_angle_gamma 90.00
loop_
_atom_site_label
_atom_site_fract_x
_atom_site_fract_y
_atom_site_fract_z
Sc1 0.0000 0.0000 0.0000
P1 0.0000 0.0000 0.5000
Cl1 0.1008 0.2500 0.1250
```